Below is an optimized crystal structure of Sr3Co2RuO9, with properties calculated at the PBE+U level.

abc: 5.568 5.568 6.791
angles: 90.00 90.00 120.00
Last column: magnetic moment on the atom in μB.
Fractional positions:
Sr: 0.333 0.667 0.672  0.01
Sr: 0.000 0.000 0.000  0.01
Sr: 0.667 0.333 0.328  0.01
Co: 0.333 0.667 0.155  2.85
Co: 0.667 0.333 0.845  2.85
Ru: 0.000 0.000 0.500  1.45
O: 0.834 0.166 0.665  0.16
O: 0.834 0.669 0.665  0.16
O: 0.331 0.166 0.665  0.16
O: 0.669 0.834 0.335  0.16
O: 0.166 0.331 0.335  0.16
O: 0.166 0.834 0.335  0.16
O: 0.500 0.000 0.000  0.19
O: 0.000 0.500 0.000  0.19
O: 0.500 0.500 0.000  0.19

VASP energy in eV per cell: -94.72
V in Å³/f.u.: 182.4